NpCo2Ag2O6: optimized geometry, PBE+U.

Structure (POSCAR):
```
NpCo2Ag2O6
1.0
-1.809 3.946 2.896
-3.534 -3.557 -1.446
4.613 -3.423 4.083
Np Co Ag O
1 2 2 6
direct
0.000 0.000 0.500
0.336 0.664 0.500
0.664 0.336 0.500
0.822 0.178 0.000
0.178 0.822 0.000
0.765 0.765 0.675
0.085 0.437 0.683
0.235 0.235 0.325
0.437 0.085 0.683
0.915 0.563 0.317
0.563 0.915 0.317
```

Output
Crystal system   monoclinic
Uncorrected energy   -0.48335 Ry/atom

=====

NpCoAg2O6: optimized geometry, PBE+U.

Structure (POSCAR):
```
NpCoAg2O6
1.0
-0.282 2.499 4.319
-4.158 -3.324 1.652
5.531 -2.664 -0.842
Np Co Ag O
1 1 2 6
direct
0.000 0.500 0.000
0.500 0.000 0.000
0.187 0.234 0.468
0.813 0.766 0.532
0.315 0.672 0.344
0.206 0.161 0.861
0.794 0.300 0.139
0.206 0.700 0.861
0.794 0.839 0.139
0.685 0.328 0.656
```

Output
Crystal system   monoclinic
Uncorrected energy   -0.48937 Ry/atom